Record 1
SrMg2CoRh: optimized geometry, PBE-GGA.

* E_tot: -2.061 eV/atom
* DFT formation energy: 1.80 eV per atom
* space-group type: P4/mmm, No. 123

Unit cell a=5.408 b=5.408 c=4.331 alpha=90.00 beta=90.00 gamma=90.00
Positions (direct):
Sr: 0.000 0.000 0.000
Mg: 0.000 0.500 0.000
Mg: 0.500 0.000 0.000
Co: 0.000 0.000 0.500
Rh: 0.500 0.500 0.500

***

Record 2
MgTaCoRh: optimized geometry, PBE-GGA.

* E_tot: -7.309 eV/atom
* DFT formation energy: -0.33 eV per atom
* space-group type: F-43m, No. 216

Unit cell a=4.371 b=4.371 c=4.371 alpha=60.00 beta=60.00 gamma=60.00
Positions (direct):
Mg: 0.000 0.000 0.000
Ta: 0.500 0.500 0.500
Co: 0.750 0.750 0.750
Rh: 0.250 0.250 0.250

***

Record 3
TmMgCoRh: optimized geometry, PBE-GGA.

* E_tot: -5.513 eV/atom
* DFT formation energy: -0.38 eV per atom
* space-group type: F-43m, No. 216

Unit cell a=4.540 b=4.540 c=4.540 alpha=60.00 beta=60.00 gamma=60.00
Positions (direct):
Tm: 0.000 0.000 0.000
Mg: 0.500 0.500 0.500
Co: 0.750 0.750 0.750
Rh: 0.250 0.250 0.250

***

- The lowest DFT formation energy belongs to which entry?
  TmMgCoRh